(1)
Below is a geometry-optimized MgFeNiB structure, with properties calculated at the PBE level.

abc: 5.540 5.540 5.540
angles: 90.00 90.00 90.00
Space group F-43m (No. 216)
Unique sites:
Mg 0.000 0.000 0.000 [4 per cell]
Fe 0.000 0.000 0.500 [4 per cell]
Ni 0.250 0.250 0.750 [4 per cell]
B 0.250 0.250 0.250 [4 per cell]

Computed properties:
As for the polymorph energy (0 for the lowest one): 45 meV/atom.

---

(2)
Below is a geometry-optimized Mg2Mo3Pd2 structure, with properties calculated at the PBE level.

abc: 4.4006 4.4006 20.1344
angles: 90.00 90.00 120.00
Space group R3m (No. 160, hexagonal axes)
Unique sites:
Mg 0.0000 0.0000 0.0000 [3 per cell]
Mg 0.0000 0.0000 0.4233 [3 per cell]
Mo 0.0000 0.0000 0.2693 [3 per cell]
Mo 0.0000 0.0000 0.5680 [3 per cell]
Mo 0.0000 0.0000 0.8579 [3 per cell]
Pd 0.0000 0.0000 0.1362 [3 per cell]
Pd 0.0000 0.0000 0.7091 [3 per cell]

Computed properties:
For the final energy, the calculation gives -6.64 eV per atom.

---

(3)
Below is a geometry-optimized LiDyNiTe3 structure, with properties calculated at the PBE level.

abc: 4.046 14.641 10.629
angles: 90.00 90.00 90.00
Space group Cmcm (No. 63)
Unique sites:
Li 0.000 0.235 0.250 [4 per cell]
Dy 0.000 0.000 0.000 [4 per cell]
Ni 0.000 0.488 0.750 [4 per cell]
Te 0.000 0.099 0.750 [4 per cell]
Te 0.000 0.358 0.589 [8 per cell]

Computed properties:
For the final energy, the calculation gives -4.38 eV per atom.

---

(4)
Below is a geometry-optimized KAgWSeS2 structure, with properties calculated at the PBE level.

abc: 3.790 14.832 10.073
angles: 90.00 90.00 90.00
Space group Cmcm (No. 63)
Unique sites:
K 0.000 0.243 0.250 [4 per cell]
Ag 0.000 0.449 0.750 [4 per cell]
W 0.000 0.000 0.000 [4 per cell]
Se 0.000 0.074 0.750 [4 per cell]
S 0.000 0.390 0.526 [8 per cell]

Computed properties:
For the final energy, the calculation gives -5.10 eV per atom.

---

(5)
Below is a geometry-optimized TlFeSe3 structure, with properties calculated at the PBE level.

abc: 7.540 7.540 10.222
angles: 90.00 90.00 90.00
Space group I4/mcm (No. 140)
Unique sites:
Tl 0.000 0.000 0.000 [4 per cell]
Fe 0.000 0.500 0.250 [4 per cell]
Se 0.000 0.000 0.250 [4 per cell]
Se 0.113 0.387 0.000 [8 per cell]

Computed properties:
For the final energy, the calculation gives -3.77 eV per atom.

---

(6)
Below is a geometry-optimized SrPmPa structure, with properties calculated at the PBE level.

abc: 7.759 7.759 7.759
angles: 90.00 90.00 90.00
Space group F-43m (No. 216)
Unique sites:
Sr 0.000 0.000 0.000 [4 per cell]
Pm 0.250 0.250 0.750 [4 per cell]
Pa 0.000 0.000 0.500 [4 per cell]

Computed properties:
As for the polymorph energy (0 for the lowest one): 0 meV/atom.

---

(7)
Below is a geometry-optimized SmGd2NiSn3Ir2 structure, with properties calculated at the PBE level.

abc: 3.959 12.993 7.478
angles: 90.00 90.00 90.00
Space group Amm2 (No. 38)
Unique sites:
Sm 0.000 0.000 0.000 [2 per cell]
Gd 0.000 0.205 0.615 [4 per cell]
Ni 0.000 0.000 0.412 [2 per cell]
Sn 0.500 0.000 0.661 [2 per cell]
Sn 0.500 0.125 0.285 [4 per cell]
Ir 0.500 0.168 0.910 [4 per cell]

Computed properties:
For the final energy, the calculation gives -6.26 eV per atom.

---

(8)
Below is a geometry-optimized CsTm structure, with properties calculated at the PBE level.

abc: 4.615 4.615 4.615
angles: 90.00 90.00 90.00
Space group Pm-3m (No. 221)
Unique sites:
Cs 0.000 0.000 0.000 [1 per cell]
Tm 0.500 0.500 0.500 [1 per cell]

Computed properties:
As for the polymorph energy (0 for the lowest one): 290 meV/atom.

---

(9)
Below is a geometry-optimized LaGaOs structure, with properties calculated at the PBE level.

abc: 6.734 6.734 6.734
angles: 90.00 90.00 90.00
Space group F-43m (No. 216)
Unique sites:
La 0.000 0.000 0.000 [4 per cell]
Ga 0.250 0.250 0.750 [4 per cell]
Os 0.250 0.250 0.250 [4 per cell]

Computed properties:
For the final energy, the calculation gives -5.55 eV per atom.

---

(10)
Below is a geometry-optimized LuBeCoGe structure, with properties calculated at the PBE level.

abc: 6.210 6.210 6.210
angles: 90.00 90.00 90.00
Space group F-43m (No. 216)
Unique sites:
Lu 0.000 0.000 0.000 [4 per cell]
Be 0.000 0.000 0.500 [4 per cell]
Co 0.250 0.250 0.750 [4 per cell]
Ge 0.250 0.250 0.250 [4 per cell]

Computed properties:
As for the polymorph energy (0 for the lowest one): 187 meV/atom.

---

(11)
Below is a geometry-optimized RbErZr structure, with properties calculated at the PBE level.

abc: 8.123 8.123 8.123
angles: 90.00 90.00 90.00
Space group F-43m (No. 216)
Unique sites:
Rb 0.000 0.000 0.000 [4 per cell]
Er 0.000 0.000 0.500 [4 per cell]
Zr 0.250 0.250 0.750 [4 per cell]

Computed properties:
As for the polymorph energy (0 for the lowest one): 0 meV/atom.

---

(12)
Below is a geometry-optimized Li2NbNi structure, with properties calculated at the PBE level.

abc: 5.928 5.928 5.928
angles: 90.00 90.00 90.00
Space group F-43m (No. 216)
Unique sites:
Li 0.000 0.000 0.000 [4 per cell]
Li 0.250 0.250 0.250 [4 per cell]
Nb 0.000 0.000 0.500 [4 per cell]
Ni 0.250 0.250 0.750 [4 per cell]

Computed properties:
As for the polymorph energy (0 for the lowest one): 4 meV/atom.

---

(13)
Below is a geometry-optimized KPmBe structure, with properties calculated at the PBE level.

abc: 7.235 7.235 7.235
angles: 90.00 90.00 90.00
Space group F-43m (No. 216)
Unique sites:
K 0.000 0.000 0.000 [4 per cell]
Pm 0.250 0.250 0.750 [4 per cell]
Be 0.000 0.000 0.500 [4 per cell]

Computed properties:
As for the polymorph energy (0 for the lowest one): 0 meV/atom.

---

(14)
Below is a geometry-optimized HoZnCo structure, with properties calculated at the PBE level.

abc: 6.334 6.334 6.334
angles: 90.00 90.00 90.00
Space group F-43m (No. 216)
Unique sites:
Ho 0.000 0.000 0.000 [4 per cell]
Zn 0.250 0.250 0.750 [4 per cell]
Co 0.250 0.250 0.250 [4 per cell]

Computed properties:
For the final energy, the calculation gives -3.76 eV per atom.

---

(15)
Below is a geometry-optimized FeCoNiAs structure, with properties calculated at the PBE level.

abc: 5.746 5.746 5.746
angles: 90.00 90.00 90.00
Space group F-43m (No. 216)
Unique sites:
Fe 0.000 0.000 0.000 [4 per cell]
Co 0.250 0.250 0.750 [4 per cell]
Ni 0.250 0.250 0.250 [4 per cell]
As 0.000 0.000 0.500 [4 per cell]

Computed properties:
As for the polymorph energy (0 for the lowest one): 22 meV/atom.

---

(16)
Below is a geometry-optimized TaSbPO structure, with properties calculated at the PBE level.

abc: 3.868 3.868 9.435
angles: 90.00 90.00 90.00
Space group P4/nmm (No. 129, origin choice 2)
Unique sites:
Ta 0.250 0.250 0.100 [2 per cell]
Sb 0.250 0.750 0.500 [2 per cell]
P 0.250 0.250 0.787 [2 per cell]
O 0.250 0.750 0.000 [2 per cell]

Computed properties:
As for the polymorph energy (0 for the lowest one): 515 meV/atom.

---

(17)
Below is a geometry-optimized SmAs2Au structure, with properties calculated at the PBE level.

abc: 4.078 4.078 10.188
angles: 90.00 90.00 90.00
Space group P4/nmm (No. 129, origin choice 2)
Unique sites:
Sm 0.250 0.250 0.232 [2 per cell]
As 0.250 0.250 0.689 [2 per cell]
As 0.250 0.750 0.000 [2 per cell]
Au 0.250 0.750 0.500 [2 per cell]

Computed properties:
For the final energy, the calculation gives -5.08 eV per atom.

---

(18)
Below is a geometry-optimized GdErB4 structure, with properties calculated at the PBE level.

abc: 3.293 5.704 7.735
angles: 90.00 90.00 90.00
Space group Immm (No. 71)
Unique sites:
Gd 0.000 0.000 0.000 [2 per cell]
Er 0.000 0.000 0.500 [2 per cell]
B 0.000 0.333 0.249 [8 per cell]

Computed properties:
As for the polymorph energy (0 for the lowest one): 5 meV/atom.

---

(19)
Below is a geometry-optimized ZrCdCoB structure, with properties calculated at the PBE level.

abc: 6.153 6.153 6.153
angles: 90.00 90.00 90.00
Space group F-43m (No. 216)
Unique sites:
Zr 0.000 0.000 0.000 [4 per cell]
Cd 0.250 0.250 0.750 [4 per cell]
Co 0.000 0.000 0.500 [4 per cell]
B 0.250 0.250 0.250 [4 per cell]

Computed properties:
As for the polymorph energy (0 for the lowest one): 0 meV/atom.

---

(20)
Below is a geometry-optimized Y8Ir structure, with properties calculated at the PBE level.

abc: 9.0757 9.0757 3.7348
angles: 90.00 90.00 120.00
Space group P-62m (No. 189)
Unique sites:
Y 0.0000 0.2396 0.0000 [3 per cell]
Y 0.0000 0.6161 0.5000 [3 per cell]
Y 0.3333 0.6667 0.0000 [2 per cell]
Ir 0.0000 0.0000 0.5000 [1 per cell]

Computed properties:
For the final energy, the calculation gives -6.94 eV per atom.